Computed, not measured: crystalline Pm4Pr2Y at its relaxed geometry at the PBE-GGA level of DFT. Values from VASP.

Geometry as Quantum ESPRESSO input:
```
&SYSTEM
  ibrav = 0, nat = 7, ntyp = 3
/
ATOMIC_SPECIES
Pm 145.00 Pm.upf
Pr 140.91 Pr.upf
Y 88.91 Y.upf
CELL_PARAMETERS angstrom
1.830 1.057 20.881
-1.830 1.057 20.881
0.000 -2.113 20.881
ATOMIC_POSITIONS crystal
Pm 0.143 0.143 0.143
Pm 0.287 0.287 0.287
Pm 0.713 0.713 0.713
Pm 0.857 0.857 0.857
Pr 0.428 0.428 0.428
Pr 0.572 0.572 0.572
Y 0.000 0.000 0.000
```

Computed properties:
Offset from the most stable computed form = 0.00 kcal/mol of atoms
ΔE_f = 0.011 eV per atom